DFT (GGA+U) results for a geometry-optimized Tl2HgMoO4 structure.

a = 6.509 Å, b = 6.509 Å, c = 6.509 Å
α = 114.91°, β = 106.82°, γ = 106.82°
Fractional coordinates of all 8 atoms:
Tl 0.000 0.000 0.000
Tl 0.500 0.750 0.250
O 0.086 0.512 0.264
O 0.248 0.736 0.822
O 0.752 0.574 0.488
O 0.914 0.178 0.426
Hg 0.500 0.250 0.750
Mo 0.000 0.500 0.500

total DFT energy (no corrections)	-40.87	eV for the cell shown
total magnetic moment	0.000	μB/cell
volume	26.35	Å³ per atom